{"formula": "NiI2", "functional": "PBE", "state": "relaxed", "lattice_angstrom": [[-3.295, 3.439, 5.982], [-0.545, 1.061, 7.553], [0.492, 4.593, 6.093]], "species": ["I", "I", "Ni"], "frac_coords": [[0.265, 0.265, 0.265], [0.735, 0.735, 0.735], [0.000, 0.000, 0.000]], "e_form_raw_ev_per_atom": -0.083, "crystal_system": "trigonal", "energy_ev_per_atom": -3.044}

***

{"formula": "NiGeSe", "functional": "PBE", "state": "relaxed", "lattice_angstrom": [[4.811, 0.000, 0.769], [0.000, 7.545, 0.000], [-0.734, 0.000, 6.046]], "species": ["Ni", "Ni", "Ni", "Ni", "Se", "Se", "Se", "Se", "Ge", "Ge", "Ge", "Ge"], "frac_coords": [[0.577, 0.360, 0.233], [0.423, 0.640, 0.767], [0.077, 0.140, 0.733], [0.923, 0.860, 0.267], [0.260, 0.371, 0.939], [0.740, 0.629, 0.061], [0.240, 0.871, 0.561], [0.760, 0.129, 0.439], [0.278, 0.902, 0.995], [0.778, 0.598, 0.495], [0.722, 0.098, 0.005], [0.222, 0.402, 0.505]], "e_form_raw_ev_per_atom": -0.098, "crystal_system": "monoclinic", "energy_ev_per_atom": -4.725}

***

Total moment, respectively: 0.672; 0.000 μB/atom.